(1)
This record from OQMD via LeMat-Bulk describes crystalline LaTaPO at its relaxed geometry. The functional is PBE.

Cell: 4.2144 4.7516 7.0425 Å, 90.00 90.00 90.00°
Atoms (fractional coordinates):
1 La 0.0000 0.1655 0.0000
2 La 0.0000 0.8345 0.5000
3 Ta 0.5000 0.3383 0.3525
4 Ta 0.5000 0.6617 0.8525
5 P 0.5000 0.1687 0.6987
6 P 0.5000 0.8313 0.1987
7 O 0.0000 0.3389 0.3500
8 O 0.0000 0.6611 0.8500

Results
DFT total energy	-8.498	eV/atom
density	8.64	g cm⁻³
offset from the most stable computed form	0.2386	eV per atom

(2)
This record from OQMD via LeMat-Bulk describes crystalline LaTaPO at its relaxed geometry. The functional is PBE.

Cell: 4.1364 4.1364 7.9735 Å, 90.00 90.00 90.00°
Atoms (fractional coordinates):
1 La 0.2500 0.7500 0.0000
2 La 0.7500 0.2500 0.0000
3 Ta 0.2500 0.2500 0.4076
4 Ta 0.7500 0.7500 0.5924
5 P 0.2500 0.2500 0.7362
6 P 0.7500 0.7500 0.2638
7 O 0.2500 0.7500 0.5000
8 O 0.7500 0.2500 0.5000

Results
DFT total energy	-7.530	eV/atom
density	8.93	g cm⁻³
offset from the most stable computed form	1.2072	eV per atom

(3)
This record from OQMD via LeMat-Bulk describes crystalline LaTaPO at its relaxed geometry. The functional is PBE.

Cell: 4.5380 6.2428 5.9531 Å, 90.00 90.00 90.00°
Atoms (fractional coordinates):
1 La 0.0000 0.2264 0.0000
2 La 0.0000 0.7736 0.5000
3 Ta 0.5000 0.3918 0.5601
4 Ta 0.5000 0.6082 0.0601
5 P 0.0000 0.2569 0.4930
6 P 0.0000 0.7431 0.9930
7 O 0.5000 0.3221 0.8888
8 O 0.5000 0.6779 0.3888

Results
DFT total energy	-8.269	eV/atom
density	7.22	g cm⁻³
offset from the most stable computed form	0.4682	eV per atom

(4)
This record from OQMD via LeMat-Bulk describes crystalline LaTmPO at its relaxed geometry. The functional is PBE.

Cell: 4.3750 7.3083 6.0808 Å, 90.00 90.00 90.00°
Atoms (fractional coordinates):
1 La 0.0000 0.2012 0.0000
2 La 0.0000 0.7988 0.5000
3 Tm 0.5000 0.3817 0.5748
4 Tm 0.5000 0.6183 0.0748
5 P 0.0000 0.1911 0.4941
6 P 0.0000 0.8089 0.9941
7 O 0.5000 0.3467 0.9314
8 O 0.5000 0.6533 0.4314

Results
DFT total energy	-7.009	eV/atom
density	6.06	g cm⁻³
offset from the most stable computed form	0.0000	eV per atom

(5)
This record from OQMD via LeMat-Bulk describes crystalline LaTmPO at its relaxed geometry. The functional is PBE.

Cell: 4.1999 4.1999 9.1397 Å, 90.00 90.00 90.00°
Atoms (fractional coordinates):
1 La 0.2500 0.7500 0.0000
2 La 0.7500 0.2500 0.0000
3 Tm 0.2500 0.2500 0.4037
4 Tm 0.7500 0.7500 0.5963
5 P 0.2500 0.2500 0.7793
6 P 0.7500 0.7500 0.2207
7 O 0.2500 0.7500 0.5000
8 O 0.7500 0.2500 0.5000

Results
DFT total energy	-6.743	eV/atom
density	7.31	g cm⁻³
offset from the most stable computed form	0.2659	eV per atom

(6)
This record from OQMD via LeMat-Bulk describes crystalline LaTmPO at its relaxed geometry. The functional is PBE.

Cell: 4.1098 8.0116 5.4638 Å, 90.00 90.00 90.00°
Atoms (fractional coordinates):
1 La 0.0000 0.1269 0.0000
2 La 0.0000 0.8731 0.5000
3 Tm 0.5000 0.3047 0.4929
4 Tm 0.5000 0.6953 0.9929
5 P 0.5000 0.3593 0.9921
6 P 0.5000 0.6407 0.4921
7 O 0.0000 0.1850 0.4838
8 O 0.0000 0.8150 0.9838

Results
DFT total energy	-6.939	eV/atom
density	6.55	g cm⁻³
offset from the most stable computed form	0.0709	eV per atom

(7)
This record from OQMD via LeMat-Bulk describes crystalline LaTmPO at its relaxed geometry. The functional is PBE.

Cell: 4.3897 4.3897 8.9259 Å, 90.00 90.00 90.00°
Atoms (fractional coordinates):
1 La 0.2500 0.2500 0.1173
2 La 0.7500 0.7500 0.8827
3 Tm 0.2500 0.7500 0.5000
4 Tm 0.7500 0.2500 0.5000
5 P 0.2500 0.2500 0.6799
6 P 0.7500 0.7500 0.3201
7 O 0.2500 0.7500 0.0000
8 O 0.7500 0.2500 0.0000

Results
DFT total energy	-6.981	eV/atom
density	6.85	g cm⁻³
offset from the most stable computed form	0.0279	eV per atom

(8)
This record from OQMD via LeMat-Bulk describes crystalline LaZnPO at its relaxed geometry. The functional is PBE.

Cell: 4.3083 6.4469 6.0435 Å, 90.00 90.00 90.00°
Atoms (fractional coordinates):
1 La 0.0000 0.2477 0.0000
2 La 0.0000 0.7523 0.5000
3 Zn 0.5000 0.3449 0.5784
4 Zn 0.5000 0.6551 0.0784
5 P 0.0000 0.2142 0.4994
6 P 0.0000 0.7858 0.9994
7 O 0.5000 0.3596 0.9412
8 O 0.5000 0.6404 0.4412

Results
DFT total energy	-5.799	eV/atom
density	4.97	g cm⁻³

(9)
This record from OQMD via LeMat-Bulk describes crystalline LaZnPO at its relaxed geometry. The functional is PBE.

Cell: 5.0510 4.0737 6.9861 Å, 90.00 90.00 90.00°
Atoms (fractional coordinates):
1 La 0.0000 0.2453 0.0000
2 La 0.0000 0.7547 0.5000
3 Zn 0.5000 0.2567 0.3392
4 Zn 0.5000 0.7433 0.8392
5 P 0.5000 0.2439 0.6740
6 P 0.5000 0.7561 0.1740
7 O 0.0000 0.2555 0.3352
8 O 0.0000 0.7445 0.8352

Results
DFT total energy	-5.903	eV/atom
density	5.81	g cm⁻³

(10)
This record from OQMD via LeMat-Bulk describes crystalline LaZr6P9O36 at its relaxed geometry. The functional is PBE.

Cell: 8.7051 8.7051 23.1650 Å, 90.00 90.00 120.00°
Atoms (fractional coordinates):
1 La 0.0000 0.0000 0.0000
2 La 0.0000 0.0000 0.5000
3 Zr 0.0000 0.0000 0.1490
4 Zr 0.0000 0.0000 0.3494
5 Zr 0.0000 0.0000 0.6506
6 Zr 0.0000 0.0000 0.8510
7 Zr 0.3333 0.6667 0.0264
8 Zr 0.3333 0.6667 0.3123
9 Zr 0.3333 0.6667 0.5261
10 Zr 0.3333 0.6667 0.8115
11 Zr 0.6667 0.3333 0.1885
12 Zr 0.6667 0.3333 0.4739
13 Zr 0.6667 0.3333 0.6877
14 Zr 0.6667 0.3333 0.9736
15 P 0.0021 0.7070 0.2498
16 P 0.0530 0.3747 0.4201
17 P 0.0541 0.6781 0.9199
18 P 0.2930 0.2950 0.2498
19 P 0.2950 0.0021 0.7502
20 P 0.3219 0.3760 0.9199
21 P 0.3217 0.9470 0.4201
22 P 0.3747 0.3217 0.5799
23 P 0.3760 0.0541 0.0801
24 P 0.6240 0.9459 0.9199
25 P 0.6253 0.6783 0.4201
26 P 0.6783 0.0530 0.5799
27 P 0.6781 0.6240 0.0801
28 P 0.7050 0.9979 0.2498
29 P 0.7070 0.7050 0.7502
30 P 0.9459 0.3219 0.0801
31 P 0.9470 0.6253 0.5799
32 P 0.9979 0.2930 0.7502
33 O 0.0138 0.8296 0.5831
34 O 0.0152 0.1862 0.0824
35 O 0.0146 0.8142 0.1952
36 O 0.0388 0.2116 0.6970
37 O 0.1064 0.5085 0.0729
38 O 0.1082 0.6006 0.5729
39 O 0.1463 0.4835 0.7566
40 O 0.1485 0.4622 0.3643
41 O 0.1495 0.6888 0.8638
42 O 0.1704 0.1842 0.5831
43 O 0.1710 0.9848 0.0824
44 O 0.1728 0.9612 0.6970
45 O 0.1767 0.4410 0.4730
46 O 0.1784 0.7358 0.9727
47 O 0.1790 0.7155 0.2569
48 O 0.1842 0.0138 0.4169
49 O 0.1862 0.1710 0.9176
50 O 0.1858 0.2004 0.1952
51 O 0.2004 0.0146 0.8048
52 O 0.2116 0.1728 0.3030
53 O 0.2642 0.4426 0.9727
54 O 0.2643 0.8233 0.4730
55 O 0.2845 0.4635 0.2569
56 O 0.3112 0.4608 0.8638
57 O 0.3137 0.8515 0.3643
58 O 0.3372 0.8537 0.7566
59 O 0.3994 0.5076 0.5729
60 O 0.4021 0.8936 0.0729
61 O 0.4410 0.2643 0.5270
62 O 0.4426 0.1784 0.0273
63 O 0.4608 0.1495 0.1362
64 O 0.4622 0.3137 0.6357
65 O 0.4635 0.1790 0.7431
66 O 0.4835 0.3372 0.2434
67 O 0.4915 0.5979 0.0729
68 O 0.4924 0.8918 0.5729
69 O 0.5076 0.1082 0.4271
70 O 0.5085 0.4021 0.9271
71 O 0.5165 0.6628 0.7566
72 O 0.5365 0.8210 0.2569
73 O 0.5378 0.6863 0.3643
74 O 0.5392 0.8505 0.8638
75 O 0.5574 0.8216 0.9727
76 O 0.5590 0.7357 0.4730
77 O 0.5979 0.1064 0.9271
78 O 0.6006 0.4924 0.4271
79 O 0.6628 0.1463 0.2434
80 O 0.6863 0.1485 0.6357
81 O 0.6888 0.5392 0.1362
82 O 0.7155 0.5365 0.7431
83 O 0.7357 0.1767 0.5270
84 O 0.7358 0.5574 0.0273
85 O 0.7884 0.8272 0.6970
86 O 0.7996 0.9854 0.1952
87 O 0.8142 0.7996 0.8048
88 O 0.8138 0.8290 0.0824
89 O 0.8158 0.9862 0.5831
90 O 0.8210 0.2845 0.7431
91 O 0.8216 0.2642 0.0273
92 O 0.8233 0.5590 0.5270
93 O 0.8272 0.0388 0.3030
94 O 0.8290 0.0152 0.9176
95 O 0.8296 0.8158 0.4169
96 O 0.8505 0.3112 0.1362
97 O 0.8515 0.5378 0.6357
98 O 0.8537 0.5165 0.2434
99 O 0.8918 0.3994 0.4271
100 O 0.8936 0.4915 0.9271
101 O 0.9612 0.7884 0.3030
102 O 0.9854 0.1858 0.8048
103 O 0.9848 0.8138 0.9176
104 O 0.9862 0.1704 0.4169

Results
DFT total energy	-8.202	eV/atom
density	3.37	g cm⁻³

(11)
This record from OQMD via LeMat-Bulk describes crystalline LaPa2O4 at its relaxed geometry. The functional is PBE.

Cell: 7.0915 7.0915 7.0915 Å, 60.00 60.00 60.00°
Atoms (fractional coordinates):
1 La 0.1250 0.1250 0.1250
2 La 0.8750 0.8750 0.8750
3 Pa 0.0000 0.5000 0.5000
4 Pa 0.5000 0.0000 0.5000
5 Pa 0.5000 0.5000 0.0000
6 Pa 0.5000 0.5000 0.5000
7 O 0.2576 0.2576 0.2576
8 O 0.2576 0.2576 0.7271
9 O 0.2576 0.7271 0.2576
10 O 0.2729 0.7424 0.7424
11 O 0.7271 0.2576 0.2576
12 O 0.7424 0.2729 0.7424
13 O 0.7424 0.7424 0.2729
14 O 0.7424 0.7424 0.7424

Results
DFT total energy	-8.538	eV/atom
density	8.76	g cm⁻³

(12)
This record from OQMD via LeMat-Bulk describes crystalline La2Pa2O5 at its relaxed geometry. The functional is PBE.

Cell: 4.3231 4.3231 8.7805 Å, 90.00 90.00 90.00°
Atoms (fractional coordinates):
1 La 0.0000 0.0000 0.0000
2 La 0.0000 0.0000 0.5000
3 Pa 0.5000 0.5000 0.2402
4 Pa 0.5000 0.5000 0.7598
5 O 0.0000 0.5000 0.3096
6 O 0.0000 0.5000 0.6904
7 O 0.5000 0.0000 0.3096
8 O 0.5000 0.0000 0.6904
9 O 0.5000 0.5000 0.5000

Results
DFT total energy	-8.213	eV/atom
density	8.30	g cm⁻³

> Which value of DFT total energy does entry 8 give?

-5.799 eV/atom

> Among the records above, which one has the lowest density?

LaZr6P9O36